1.
ReTcPb2: relaxed, PBE. Values from VASP.

Cell and atoms, written as Quantum ESPRESSO input:
```
&SYSTEM
  ibrav = 0, nat = 4, ntyp = 3
/
ATOMIC_SPECIES
Tc 98.00 Tc.upf
Re 186.21 Re.upf
Pb 207.20 Pb.upf
ATOMIC_POSITIONS angstrom
Tc 19.434 3.557 2.099
Re 6.478 1.186 0.700
Pb 0.023 0.004 0.002
Pb 12.933 2.367 1.397
CELL_PARAMETERS angstrom
9.021 0.026 0.015
8.445 3.171 0.015
8.445 1.546 2.769
```

Summary:
**DFT formation energy**: 24.50 kcal/mol of atoms
**Total magnetization**: 0.204 μB/atom
**SG**: R-3m

2.
La2Pm5Ga4: relaxed, PBE. Values from VASP.

Cell and atoms, written as Quantum ESPRESSO input:
```
&SYSTEM
  ibrav = 0, nat = 11, ntyp = 3
/
ATOMIC_SPECIES
Ga 69.72 Ga.upf
Pm 145.00 Pm.upf
La 138.91 La.upf
ATOMIC_POSITIONS angstrom
Ga 2.297 5.723 1.248
Pm 2.297 -1.939 5.103
Pm 0.000 7.662 1.969
Ga 0.000 9.812 0.000
Pm 2.297 0.000 0.000
La 0.000 0.000 2.837
Pm 2.297 1.939 5.103
Ga 0.000 0.000 5.825
Pm 0.000 3.785 1.969
La 2.297 5.723 4.235
Ga 0.000 1.635 0.000
CELL_PARAMETERS angstrom
4.594 0.000 0.000
0.000 11.447 0.000
-2.297 -5.723 7.072
```

Summary:
**DFT formation energy**: -1.18 kcal/mol of atoms
**Total magnetization**: 0.000 μB/atom
**SG**: Immm

3.
PrErTlPb: relaxed, PBE. Values from VASP.

Cell and atoms, written as Quantum ESPRESSO input:
```
&SYSTEM
  ibrav = 0, nat = 4, ntyp = 4
/
ATOMIC_SPECIES
Pr 140.91 Pr.upf
Pb 207.20 Pb.upf
Er 167.26 Er.upf
Tl 204.38 Tl.upf
ATOMIC_POSITIONS angstrom
Pr -2.280 -2.193 1.204
Pb -1.296 -2.683 -1.997
Er 1.064 -3.190 0.376
Tl 0.000 -0.001 0.000
CELL_PARAMETERS angstrom
-4.641 -1.685 -1.168
2.049 -3.682 -2.827
1.376 -0.017 5.575
```

Summary:
**DFT formation energy**: -9.37 kcal/mol of atoms
**Total magnetization**: 0.000 μB/atom
**SG**: I-4m2

4.
YTm2UO8: relaxed, PBE. Values from VASP.

Cell and atoms, written as Quantum ESPRESSO input:
```
&SYSTEM
  ibrav = 0, nat = 12, ntyp = 4
/
ATOMIC_SPECIES
O 16.00 O.upf
Tm 168.93 Tm.upf
Y 88.91 Y.upf
U 238.03 U.upf
ATOMIC_POSITIONS angstrom
O -1.655 4.629 7.202
O -1.444 -0.959 1.490
O 0.382 3.607 6.001
Tm -1.810 3.497 5.165
O -1.933 2.329 3.221
O -1.166 1.341 5.471
Y -0.520 3.329 1.640
U 0.000 0.000 0.000
O 0.945 -0.001 4.225
O -3.481 0.063 2.690
Tm -1.290 0.172 3.527
O -4.045 3.670 4.467
CELL_PARAMETERS angstrom
-3.627 -0.967 0.812
1.568 -2.021 4.601
-1.040 6.657 3.279
```

Summary:
**Total magnetization**: 0.000 μB/atom
**VASP energy**: -105.95 eV for the cell shown
**SG**: Pmmm